First-principles (PBE-GGA) data for crystalline NaHfPN3 at its relaxed geometry, as listed in Alexandria via LeMat-Bulk.

Values from the calculation:
Uncorrected formation energy in eV per atom: -0.66
Crystal system: monoclinic
Magnetization in μB/cell: 0.00
Energy in eV/atom: -7.608

The structure in POSCAR format:
```
NaHfPN3
1.0
-0.4125 -2.9399 1.6331
-4.2113 -4.0092 -8.2811
4.6039 -0.5937 0.0940
Na Hf P N
2 2 2 6
Direct
0.2500 0.2425 0.0394
0.7500 0.7575 0.9606
0.2500 0.5832 0.3201
0.7500 0.4168 0.6799
0.2500 0.0760 0.3990
0.7500 0.9240 0.6010
0.7500 0.7506 0.4542
0.2500 0.2494 0.5458
0.2500 0.9963 0.6802
0.7500 0.0037 0.3198
0.7500 0.4383 0.2023
0.2500 0.5617 0.7977
```